# 1
Here is a relaxed PuZn4Au5 crystal from Alexandria. Energies are from PBE.

Calculated values
Calculated formation energy in meV per atom: -253

a = 3.2264 Å, b = 3.2264 Å, c = 16.8704 Å
α = 90.00°, β = 90.00°, γ = 90.00°
Last column: nearest neighbours and their distance in Å.
Element x y z (fractional)
Zn: 0.0000 0.0000 0.5921  8 Au 2.76-2.77
Zn: 0.0000 0.0000 0.4079  8 Au 2.76-2.77
Au: 0.5000 0.5000 0.8699  4 Zn 2.75
Zn: 0.0000 0.0000 0.2213  8 Au 2.75-2.77
Au: 0.5000 0.5000 0.3148  8 Zn 2.77
Pu: 0.0000 0.0000 0.0000  8 Au 3.17, 4 Pu 3.23
Au: 0.5000 0.5000 0.6852  8 Zn 2.77
Au: 0.5000 0.5000 0.5000  8 Zn 2.76
Au: 0.5000 0.5000 0.1301  4 Zn 2.75
Zn: 0.0000 0.0000 0.7787  8 Au 2.75-2.77


# 2
Here is a relaxed Be2CuTc crystal from Alexandria. Energies are from PBE.

Calculated values
Calculated formation energy in meV per atom: -39
Polymorph energy (0 for the lowest one) in meV/atom: 108

a = 3.8962 Å, b = 3.8962 Å, c = 3.8962 Å
α = 60.00°, β = 60.00°, γ = 60.00°
Last column: nearest neighbours and their distance in Å.
Element x y z (fractional)
Tc: 0.5000 0.5000 0.5000  8 Be 2.39
Cu: 0.0000 0.0000 0.0000  8 Be 2.39
Be: 0.7500 0.7500 0.7500  4 Tc 2.39, 4 Cu 2.39
Be: 0.2500 0.2500 0.2500  4 Tc 2.39, 4 Cu 2.39


# 3
Here is a relaxed BaMn2Cr crystal from Alexandria. Energies are from PBE.

Calculated values
Calculated formation energy in meV per atom: 756
Polymorph energy (0 for the lowest one) in meV/atom: 268

a = 3.3195 Å, b = 3.3195 Å, c = 7.2942 Å
α = 90.00°, β = 90.00°, γ = 90.00°
Last column: nearest neighbours and their distance in Å.
Element x y z (fractional)
Mn: 0.0000 0.0000 0.0014  4 Cr 2.54, 4 Mn 2.56
Mn: 0.5000 0.5000 0.1405  1 Cr 1.98
Ba: 0.0000 0.0000 0.4891  4 Ba 3.32, 5 Mn 3.46-3.56, 4 Cr 3.63
Cr: 0.5000 0.5000 0.8689  1 Mn 1.98


# 4
Here is a relaxed BaCaBr2 crystal from Alexandria. Energies are from PBE.

Calculated values
Formation energy without anion corrections in eV/atom: -1.289
Polymorph energy (0 for the lowest one) in meV/atom: 155

a = 7.1484 Å, b = 7.1484 Å, c = 8.7673 Å
α = 65.94°, β = 65.94°, γ = 90.00°
Last column: nearest neighbours and their distance in Å.
Element x y z (fractional)
Ca: 0.2500 0.7500 0.5000  4 Br 2.91
Br: 0.8750 0.8252 0.7500  2 Ca 2.91
Ba: 0.0000 0.0000 0.0000  4 Br 3.32
Ba: 0.7500 0.2500 0.5000  4 Br 3.32
Ca: 0.5000 0.5000 0.0000  4 Br 2.91
Br: 0.1748 0.6250 0.2500  2 Ca 2.91
Br: 0.5752 0.1250 0.2500  2 Ca 2.91
Br: 0.3750 0.4248 0.7500  2 Ca 2.91


# 5
Here is a relaxed ErAl2Au crystal from Alexandria. Energies are from PBE.

Calculated values
Calculated formation energy in meV per atom: -607

a = 5.8868 Å, b = 6.9172 Å, c = 7.8287 Å
α = 90.00°, β = 90.00°, γ = 94.23°
Last column: nearest neighbours and their distance in Å.
Element x y z (fractional)
Er: 0.1188 0.7566 0.4719  4 Au 3.09-3.36, 8 Al 3.12-3.33
Al: 0.6173 0.8244 0.6068  3 Au 2.58-2.67, 3 Al 2.73-2.86
Au: 0.1580 0.4262 0.2111  5 Al 2.58-2.67
Er: 0.8812 0.2434 0.5281  4 Au 3.09-3.36, 8 Al 3.12-3.33
Al: 0.0545 0.0503 0.1650  2 Au 2.61-2.65, 4 Al 2.73-2.86
Al: 0.9455 0.9497 0.8350  2 Au 2.61-2.65, 4 Al 2.73-2.86
Al: 0.8827 0.6756 0.1068  3 Au 2.58-2.67, 3 Al 2.73-2.86
Er: 0.3812 0.7434 0.9719  4 Au 3.09-3.36, 8 Al 3.12-3.33
Al: 0.5545 0.5503 0.3350  2 Au 2.61-2.65, 4 Al 2.73-2.86
Er: 0.6188 0.2566 0.0281  4 Au 3.09-3.36, 8 Al 3.12-3.33
Al: 0.3827 0.1756 0.3932  3 Au 2.58-2.67, 3 Al 2.73-2.86
Au: 0.6580 0.9262 0.2889  5 Al 2.58-2.67
Au: 0.8420 0.5738 0.7889  5 Al 2.58-2.67
Al: 0.1173 0.3244 0.8932  3 Au 2.58-2.67, 3 Al 2.73-2.86
Au: 0.3420 0.0738 0.7111  5 Al 2.58-2.67
Al: 0.4455 0.4497 0.6650  2 Au 2.61-2.65, 4 Al 2.73-2.86


# 6
Here is a relaxed KNa6Cd8 crystal from Alexandria. Energies are from PBE.

Calculated values
Calculated formation energy in meV per atom: -31

a = 8.0539 Å, b = 8.0539 Å, c = 8.0539 Å
α = 66.95°, β = 66.95°, γ = 66.95°
Last column: nearest neighbours and their distance in Å.
Element x y z (fractional)
Cd: 0.4580 0.1296 0.8169  5 Cd 3.02-3.30, 3 Na 3.14-3.30
Na: 0.6326 0.3991 0.8486  1 Na 3.08, 5 Cd 3.14-3.42
Cd: 0.8704 0.1831 0.5420  5 Cd 3.02-3.30, 3 Na 3.14-3.30
Na: 0.3991 0.8486 0.6326  1 Na 3.08, 5 Cd 3.14-3.42
Cd: 0.2239 0.2239 0.2239  6 Cd 3.02-3.30
K: 0.0000 0.0000 0.0000  6 Na 3.59, 6 Cd 3.80
Cd: 0.1831 0.5420 0.8704  5 Cd 3.02-3.30, 3 Na 3.14-3.30
Cd: 0.8169 0.4580 0.1296  5 Cd 3.02-3.30, 3 Na 3.14-3.30
Na: 0.8486 0.6326 0.3991  1 Na 3.08, 5 Cd 3.14-3.42
Na: 0.3674 0.6009 0.1514  1 Na 3.08, 5 Cd 3.14-3.42
Na: 0.6009 0.1514 0.3674  1 Na 3.08, 5 Cd 3.14-3.42
Cd: 0.7761 0.7761 0.7761  6 Cd 3.02-3.30
Cd: 0.5420 0.8704 0.1831  5 Cd 3.02-3.30, 3 Na 3.14-3.30
Na: 0.1514 0.3674 0.6009  1 Na 3.08, 5 Cd 3.14-3.42
Cd: 0.1296 0.8169 0.4580  5 Cd 3.02-3.30, 3 Na 3.14-3.30


# 7
Here is a relaxed LaMnGaPt3 crystal from Alexandria. Energies are from PBE.

Calculated values
Calculated formation energy in meV per atom: -568

a = 5.6977 Å, b = 6.8345 Å, c = 7.0049 Å
α = 119.20°, β = 90.00°, γ = 90.00°
Last column: nearest neighbours and their distance in Å.
Element x y z (fractional)
La: 0.2500 0.7101 0.4202  1 Mn 2.99, 2 Ga 3.00, 6 Pt 3.23-3.26
Ga: 0.7500 0.6329 0.2657  5 Pt 2.46-2.58
Pt: 0.2500 0.1661 0.3322  1 Ga 2.46, 1 Mn 2.58
Pt: 0.5000 0.7057 0.0000  2 Mn 2.53, 2 Ga 2.58, 1 Pt 2.81
La: 0.7500 0.2899 0.5798  1 Mn 2.99, 2 Ga 3.00, 6 Pt 3.23-3.26
Pt: 0.0000 0.2943 0.0000  2 Mn 2.53, 2 Ga 2.58, 1 Pt 2.81
Pt: 0.0000 0.7057 0.0000  2 Mn 2.53, 2 Ga 2.58, 1 Pt 2.81
Pt: 0.7500 0.8339 0.6678  1 Ga 2.46, 1 Mn 2.58
Mn: 0.7500 0.0452 0.0905  5 Pt 2.53-2.58
Ga: 0.2500 0.3671 0.7343  5 Pt 2.46-2.58
Mn: 0.2500 0.9548 0.9095  5 Pt 2.53-2.58
Pt: 0.5000 0.2943 0.0000  2 Mn 2.53, 2 Ga 2.58, 1 Pt 2.81


# 8
Here is a relaxed Li3CdB crystal from Alexandria. Energies are from PBE.

Calculated values
Calculated formation energy in meV per atom: 1072

a = 4.8828 Å, b = 4.8828 Å, c = 4.8828 Å
α = 90.00°, β = 90.00°, γ = 90.00°
Last column: nearest neighbours and their distance in Å.
Element x y z (fractional)
Li: 0.5000 0.0000 0.0000  2 Cd 2.44
Li: 0.0000 0.0000 0.5000  2 Cd 2.44
Li: 0.0000 0.5000 0.0000  2 Cd 2.44
Cd: 0.0000 0.0000 0.0000  6 Li 2.44
B: 0.5000 0.5000 0.5000  12 Li 3.45


no.,E_tot (eV/atom),magnetic moment (Bohr magnetons per cell)
1,-3.83,5.573
2,-5.52,0.000
3,-6.72,2.290
4,-3.11,3.401
5,-4.44,0.000
6,-1.12,0.000
7,-6.44,7.491
8,-1.59,0.000